# PBE with a Hubbard U LiMnBrO2, relaxed
data_LiMnBrO2
_space_group_name_H-M_alt 'P 1'
_space_group_IT_number 1
_space_group_name_Hall 'P 1'
_cell_length_a 3.798
_cell_length_b 3.798
_cell_length_c 5.348
_cell_angle_alpha 90.00
_cell_angle_beta 90.00
_cell_angle_gamma 90.00
loop_
_atom_site_label
_atom_site_fract_x
_atom_site_fract_y
_atom_site_fract_z
Li1 0.000 0.000 0.000
Mn1 0.000 0.000 0.500
Br1 0.500 0.500 0.500
O1 0.000 0.500 0.000
O2 0.500 0.000 0.000
# space-group type = P4/mmm (123)
# final energy = -4.300 eV per atom
# crystal system = tetragonal